1.
Entry from Alexandria via LeMat-Bulk: a geometry-optimized ZrCo2Sn2 structure (PBE-GGA).

Output
ΔE_f: -0.014 eV/atom

```
data_ZrCo2Sn2
_chemical_formula_sum 'Zr1 Co2 Sn2'
_symmetry_space_group_name_H-M 'P 1'
_symmetry_Int_Tables_number 1
_cell_length_a 4.029
_cell_length_b 4.029
_cell_length_c 6.287
_cell_angle_alpha 71.31
_cell_angle_beta 71.31
_cell_angle_gamma 90.00
loop_
_symmetry_equiv_pos_as_xyz
'x,y,z'
loop_
_atom_site_label
_atom_site_fract_x
_atom_site_fract_y
_atom_site_fract_z
_atom_site_occupancy
Co1 0.750 0.250 0.500 1
Co2 0.250 0.750 0.500 1
Sn1 0.377 0.377 0.245 1
Sn2 0.623 0.623 0.755 1
Zr1 0.000 0.000 0.000 1
```

=====

2.
Entry from Alexandria via LeMat-Bulk: a geometry-optimized LaSe2F structure (PBE-GGA).

Output
Energy relative to the elements, uncorrected: -2.172 eV/atom

```
data_LaSe2F
_chemical_formula_sum 'La2 Se4 F2'
_symmetry_space_group_name_H-M 'P 1'
_symmetry_Int_Tables_number 1
_cell_length_a 4.361
_cell_length_b 5.814
_cell_length_c 8.125
_cell_angle_alpha 78.52
_cell_angle_beta 77.62
_cell_angle_gamma 72.25
loop_
_symmetry_equiv_pos_as_xyz
'x,y,z'
loop_
_atom_site_label
_atom_site_fract_x
_atom_site_fract_y
_atom_site_fract_z
_atom_site_occupancy
F1 0.872 0.575 0.157 1
F2 0.341 0.478 0.346 1
Se1 0.288 0.042 0.205 1
Se2 0.942 0.163 0.872 1
Se3 0.494 0.923 0.475 1
Se4 0.103 0.532 0.735 1
La1 0.834 0.350 0.476 1
La2 0.421 0.564 0.040 1
```

=====

3.
Entry from Alexandria via LeMat-Bulk: a geometry-optimized TlBi2RuN structure (PBE-GGA).

Output
Energy relative to the elements, uncorrected: 2.265 eV/atom

```
data_TlBi2RuN
_chemical_formula_sum 'Tl1 Bi2 Ru1 N1'
_symmetry_space_group_name_H-M 'P 1'
_symmetry_Int_Tables_number 1
_cell_length_a 5.842
_cell_length_b 5.202
_cell_length_c 5.842
_cell_angle_alpha 90.00
_cell_angle_beta 90.00
_cell_angle_gamma 90.00
loop_
_symmetry_equiv_pos_as_xyz
'x,y,z'
loop_
_atom_site_label
_atom_site_fract_x
_atom_site_fract_y
_atom_site_fract_z
_atom_site_occupancy
Ru1 0.000 0.500 0.000 1
Tl1 0.000 0.000 0.000 1
Bi1 0.000 0.000 0.500 1
Bi2 0.500 0.000 0.000 1
N1 0.500 0.500 0.500 1
```

=====

4.
Entry from Alexandria via LeMat-Bulk: a geometry-optimized MnFeS2 structure (PBE-GGA).

Output
Energy relative to the elements, uncorrected: 0.100 eV/atom

```
data_MnFeS2
_chemical_formula_sum 'Mn1 Fe1 S2'
_symmetry_space_group_name_H-M 'P 1'
_symmetry_Int_Tables_number 1
_cell_length_a 7.360
_cell_length_b 7.360
_cell_length_c 7.360
_cell_angle_alpha 23.50
_cell_angle_beta 23.50
_cell_angle_gamma 23.50
loop_
_symmetry_equiv_pos_as_xyz
'x,y,z'
loop_
_atom_site_label
_atom_site_fract_x
_atom_site_fract_y
_atom_site_fract_z
_atom_site_occupancy
S1 0.901 0.901 0.901 1
S2 0.099 0.099 0.099 1
Mn1 0.000 0.000 0.000 1
Fe1 0.500 0.500 0.500 1
```

=====

5.
Entry from Alexandria via LeMat-Bulk: a geometry-optimized BeSi3Pd structure (PBE-GGA).

Output
Energy relative to the elements, uncorrected: 0.590 eV/atom

```
data_BeSi3Pd
_chemical_formula_sum 'Be1 Si3 Pd1'
_symmetry_space_group_name_H-M 'P 1'
_symmetry_Int_Tables_number 1
_cell_length_a 4.236
_cell_length_b 4.236
_cell_length_c 4.236
_cell_angle_alpha 90.00
_cell_angle_beta 90.00
_cell_angle_gamma 90.00
loop_
_symmetry_equiv_pos_as_xyz
'x,y,z'
loop_
_atom_site_label
_atom_site_fract_x
_atom_site_fract_y
_atom_site_fract_z
_atom_site_occupancy
Be1 0.000 0.000 0.000 1
Si1 0.000 0.500 0.000 1
Si2 0.000 0.000 0.500 1
Si3 0.500 0.000 0.000 1
Pd1 0.500 0.500 0.500 1
```

=====

6.
Entry from Alexandria via LeMat-Bulk: a geometry-optimized SrPmIrPt structure (PBE-GGA).

Output
ΔE_f: -0.559 eV/atom

```
data_SrPmIrPt
_chemical_formula_sum 'Sr1 Pm1 Ir1 Pt1'
_symmetry_space_group_name_H-M 'P 1'
_symmetry_Int_Tables_number 1
_cell_length_a 5.073
_cell_length_b 5.073
_cell_length_c 5.073
_cell_angle_alpha 60.00
_cell_angle_beta 60.00
_cell_angle_gamma 60.00
loop_
_symmetry_equiv_pos_as_xyz
'x,y,z'
loop_
_atom_site_label
_atom_site_fract_x
_atom_site_fract_y
_atom_site_fract_z
_atom_site_occupancy
Sr1 0.500 0.500 0.500 1
Ir1 0.250 0.250 0.250 1
Pt1 0.750 0.750 0.750 1
Pm1 0.000 0.000 0.000 1
```

=====

7.
Entry from Alexandria via LeMat-Bulk: a geometry-optimized SrMg3Ru structure (PBE-GGA).

Output
ΔE_f: 0.012 eV/atom

```
data_SrMg3Ru
_chemical_formula_sum 'Sr1 Mg3 Ru1'
_symmetry_space_group_name_H-M 'P 1'
_symmetry_Int_Tables_number 1
_cell_length_a 5.084
_cell_length_b 5.084
_cell_length_c 5.084
_cell_angle_alpha 90.00
_cell_angle_beta 90.00
_cell_angle_gamma 90.00
loop_
_symmetry_equiv_pos_as_xyz
'x,y,z'
loop_
_atom_site_label
_atom_site_fract_x
_atom_site_fract_y
_atom_site_fract_z
_atom_site_occupancy
Ru1 0.000 0.000 0.000 1
Mg1 0.000 0.500 0.000 1
Mg2 0.000 0.000 0.500 1
Mg3 0.500 0.000 0.000 1
Sr1 0.500 0.500 0.500 1
```

=====

8.
Entry from Alexandria via LeMat-Bulk: a geometry-optimized SnH4 structure (PBE-GGA).

```
data_SnH4
_chemical_formula_sum 'Sn1 H4'
_symmetry_space_group_name_H-M 'P 1'
_symmetry_Int_Tables_number 1
_cell_length_a 3.848
_cell_length_b 3.848
_cell_length_c 3.848
_cell_angle_alpha 90.00
_cell_angle_beta 90.00
_cell_angle_gamma 90.00
loop_
_symmetry_equiv_pos_as_xyz
'x,y,z'
loop_
_atom_site_label
_atom_site_fract_x
_atom_site_fract_y
_atom_site_fract_z
_atom_site_occupancy
H1 0.000 0.000 0.000 1
H2 0.500 0.000 0.500 1
H3 0.000 0.500 0.500 1
H4 0.500 0.500 0.000 1
Sn1 0.500 0.500 0.500 1
```

=====

9.
Entry from Alexandria via LeMat-Bulk: a geometry-optimized BaReAg2 structure (PBE-GGA).

Output
ΔE_f: 0.854 eV/atom

```
data_BaReAg2
_chemical_formula_sum 'Ba1 Re1 Ag2'
_symmetry_space_group_name_H-M 'P 1'
_symmetry_Int_Tables_number 1
_cell_length_a 5.028
_cell_length_b 5.028
_cell_length_c 6.633
_cell_angle_alpha 83.53
_cell_angle_beta 83.53
_cell_angle_gamma 34.12
loop_
_symmetry_equiv_pos_as_xyz
'x,y,z'
loop_
_atom_site_label
_atom_site_fract_x
_atom_site_fract_y
_atom_site_fract_z
_atom_site_occupancy
Re1 0.258 0.258 0.172 1
Ba1 0.504 0.504 0.491 1
Ag1 0.999 0.999 0.021 1
Ag2 0.739 0.739 0.817 1
```

=====

10.
Entry from Alexandria via LeMat-Bulk: a geometry-optimized NaPm2US5 structure (PBE-GGA).

Output
Energy relative to the elements, uncorrected: -1.552 eV/atom

```
data_NaPm2US5
_chemical_formula_sum 'Na1 Pm2 U1 S5'
_symmetry_space_group_name_H-M 'P 1'
_symmetry_Int_Tables_number 1
_cell_length_a 5.005
_cell_length_b 7.061
_cell_length_c 8.204
_cell_angle_alpha 115.49
_cell_angle_beta 107.76
_cell_angle_gamma 90.00
loop_
_symmetry_equiv_pos_as_xyz
'x,y,z'
loop_
_atom_site_label
_atom_site_fract_x
_atom_site_fract_y
_atom_site_fract_z
_atom_site_occupancy
Na1 0.000 0.500 0.000 1
Pm1 0.203 0.203 0.406 1
Pm2 0.797 0.797 0.594 1
U1 0.500 0.000 0.000 1
S1 0.650 0.909 0.300 1
S2 0.350 0.091 0.700 1
S3 0.350 0.609 0.700 1
S4 0.650 0.391 0.300 1
S5 0.000 0.000 0.000 1
```

=====

11.
Entry from Alexandria via LeMat-Bulk: a geometry-optimized Li2La2Tl structure (PBE-GGA).

Output
ΔE_f: -0.050 eV/atom

```
data_Li2La2Tl
_chemical_formula_sum 'Li2 La2 Tl1'
_symmetry_space_group_name_H-M 'P 1'
_symmetry_Int_Tables_number 1
_cell_length_a 4.644
_cell_length_b 4.644
_cell_length_c 6.719
_cell_angle_alpha 90.00
_cell_angle_beta 90.00
_cell_angle_gamma 120.00
loop_
_symmetry_equiv_pos_as_xyz
'x,y,z'
loop_
_atom_site_label
_atom_site_fract_x
_atom_site_fract_y
_atom_site_fract_z
_atom_site_occupancy
Li1 0.333 0.667 0.103 1
Li2 0.667 0.333 0.897 1
La1 0.333 0.667 0.642 1
La2 0.667 0.333 0.358 1
Tl1 0.000 0.000 0.000 1
```

=====

12.
Entry from Alexandria via LeMat-Bulk: a geometry-optimized CsPAu3 structure (PBE-GGA).

Output
ΔE_f: -0.204 eV/atom

```
data_CsPAu3
_chemical_formula_sum 'Cs2 P2 Au6'
_symmetry_space_group_name_H-M 'P 1'
_symmetry_Int_Tables_number 1
_cell_length_a 4.345
_cell_length_b 6.543
_cell_length_c 9.795
_cell_angle_alpha 97.65
_cell_angle_beta 102.81
_cell_angle_gamma 90.00
loop_
_symmetry_equiv_pos_as_xyz
'x,y,z'
loop_
_atom_site_label
_atom_site_fract_x
_atom_site_fract_y
_atom_site_fract_z
_atom_site_occupancy
Cs1 0.060 0.263 0.120 1
Cs2 0.940 0.737 0.880 1
P1 0.613 0.861 0.226 1
P2 0.387 0.139 0.774 1
Au1 0.149 0.755 0.298 1
Au2 0.851 0.245 0.702 1
Au3 0.299 0.848 0.598 1
Au4 0.701 0.152 0.402 1
Au5 0.281 0.405 0.562 1
Au6 0.719 0.595 0.438 1
```

=====

13.
Entry from Alexandria via LeMat-Bulk: a geometry-optimized Ca2YNi structure (PBE-GGA).

Output
ΔE_f: 0.074 eV/atom

```
data_Ca2YNi
_chemical_formula_sum 'Ca2 Y1 Ni1'
_symmetry_space_group_name_H-M 'P 1'
_symmetry_Int_Tables_number 1
_cell_length_a 3.481
_cell_length_b 3.489
_cell_length_c 9.864
_cell_angle_alpha 69.29
_cell_angle_beta 90.00
_cell_angle_gamma 90.00
loop_
_symmetry_equiv_pos_as_xyz
'x,y,z'
loop_
_atom_site_label
_atom_site_fract_x
_atom_site_fract_y
_atom_site_fract_z
_atom_site_occupancy
Y1 0.500 0.750 0.750 1
Ni1 0.500 0.250 0.250 1
Ca1 0.000 0.932 0.069 1
Ca2 0.000 0.568 0.431 1
```

=====

Number 1: total DFT energy (no corrections) -6.17 eV per atom. Number 2: total DFT energy (no corrections) -5.61 eV per atom. Number 3: total DFT energy (no corrections) -3.28 eV per atom. Number 4: total DFT energy (no corrections) -6.37 eV per atom. Number 5: total DFT energy (no corrections) -4.45 eV per atom. Number 6: total DFT energy (no corrections) -5.89 eV per atom. Number 7: total DFT energy (no corrections) -3.14 eV per atom. Number 8: total DFT energy (no corrections) -2.80 eV per atom. Number 9: total DFT energy (no corrections) -4.16 eV per atom. Number 10: total DFT energy (no corrections) -6.30 eV per atom. Number 11: total DFT energy (no corrections) -3.26 eV per atom. Number 12: total DFT energy (no corrections) -3.42 eV per atom. Number 13: total DFT energy (no corrections) -3.99 eV per atom.